# 1
Material: YFeTe2N
Method: DFT, PBE
State: optimized geometry

It has space group P4/mmm (No. 123), with a = 5.385 Å, b = 5.385 Å, c = 3.536 Å, α = 90.00°, β = 90.00° and γ = 90.00°. The asymmetric unit holds Y at (0.000, 0.000, 0.000), Fe at (0.500, 0.500, 0.500), Te at (0.000, 0.500, 0.500) and N at (0.500, 0.500, 0.000).

As for the crystal system: tetragonal. For the uncorrected formation energy, the calculation gives -0.29 eV/atom. The uncorrected energy comes out at -30.97 eV/cell.

# 2
Material: KHgBr2
Method: DFT, PBE
State: optimized geometry

It has space group Cmm2 (No. 35), with a = 6.454 Å, b = 6.522 Å, c = 6.371 Å, α = 90.00°, β = 90.00° and γ = 90.00°. The asymmetric unit holds K at (0.000, 0.000, 0.000), Hg at (0.000, 0.500, 0.499), Br at (0.000, 0.000, 0.500) and Br at (0.000, 0.500, 0.000).

As for the crystal system: orthorhombic. For the uncorrected formation energy, the calculation gives -0.94 eV/atom. The uncorrected energy comes out at -17.03 eV/cell.

# 3
Material: YTeHN2
Method: DFT, PBE
State: optimized geometry

It has space group P4/mmm (No. 123), with a = 4.339 Å, b = 4.339 Å, c = 3.461 Å, α = 90.00°, β = 90.00° and γ = 90.00°. The asymmetric unit holds Y at (0.000, 0.000, 0.000), Te at (0.500, 0.500, 0.000), H at (0.500, 0.500, 0.500) and N at (0.000, 0.500, 0.500).

As for the crystal system: tetragonal. The uncorrected energy comes out at -25.62 eV/cell.

# 4
Material: BC2
Method: DFT, PBE
State: optimized geometry

It has space group Pm (No. 6), with a = 4.662 Å, b = 2.491 Å, c = 6.589 Å, α = 90.00°, β = 92.17° and γ = 90.00°. The asymmetric unit holds B at (0.000, 0.000, 0.000), B at (0.154, 0.500, 0.672), B at (0.367, 0.000, 0.547), B at (0.832, 0.500, 0.335), C at (0.031, 0.000, 0.241), C at (0.193, 0.500, 0.907), C at (0.353, 0.000, 0.304), C at (0.507, 0.500, 0.226), C at (0.509, 0.500, 0.986), C at (0.665, 0.000, 0.907), C at (0.686, 0.000, 0.671) and C at (0.818, 0.500, 0.585).

The value obtained for the calculated formation energy is 0.350 eV per atom. As for the crystal system: monoclinic. The uncorrected energy comes out at -96.31 eV/cell.

# 5
Material: Ag2Ge2Au5
Method: DFT, PBE
State: optimized geometry

It has space group P-1 (No. 2), with a = 4.713 Å, b = 5.330 Å, c = 7.590 Å, α = 73.91°, β = 88.80° and γ = 67.68°. The asymmetric unit holds Ag at (0.126, 0.297, 0.180), Ge at (0.392, 0.680, 0.237), Au at (0.000, 0.500, 0.500), Au at (0.223, 0.062, 0.874) and Au at (0.315, 0.845, 0.561).

The value obtained for the calculated formation energy is 0.036 eV per atom. As for the crystal system: triclinic. The uncorrected energy comes out at -31.00 eV/cell.

# 6
Material: TiGeTeN2
Method: DFT, PBE
State: optimized geometry

It has space group P4/mmm (No. 123), with a = 3.815 Å, b = 3.815 Å, c = 5.882 Å, α = 90.00°, β = 90.00° and γ = 90.00°. The asymmetric unit holds Ti at (0.000, 0.000, 0.000), Ge at (0.500, 0.500, 0.500), Te at (0.500, 0.500, 0.000) and N at (0.000, 0.500, 0.500).

As for the crystal system: tetragonal. For the uncorrected formation energy, the calculation gives 1.07 eV/atom. The uncorrected energy comes out at -26.94 eV/cell.

# 7
Material: NaBe2InBr6
Method: DFT, PBE
State: optimized geometry

It has space group C2/c (No. 15), with a = 13.590 Å, b = 14.148 Å, c = 6.490 Å, α = 90.00°, β = 97.86° and γ = 90.00°. The asymmetric unit holds Na at (0.000, 0.172, 0.250), Be at (0.210, 0.077, 0.759), In at (0.000, 0.395, 0.750), Br at (0.131, 0.200, 0.632), Br at (0.131, 0.405, 0.218) and Br at (0.162, 0.055, 0.080).

As for the crystal system: monoclinic. For the uncorrected formation energy, the calculation gives -1.01 eV/atom. The uncorrected energy comes out at -126.73 eV/cell.

# 8
Material: La2Hg2As
Method: DFT, PBE
State: optimized geometry

It has space group P4/mbm (No. 127), with a = 7.986 Å, b = 7.986 Å, c = 4.931 Å, α = 90.00°, β = 90.00° and γ = 90.00°. The asymmetric unit holds La at (0.168, 0.332, 0.000), Hg at (0.137, 0.637, 0.500) and As at (0.000, 0.000, 0.000).

The value obtained for the calculated formation energy is -0.570 eV per atom. As for the crystal system: tetragonal. The uncorrected energy comes out at -35.91 eV/cell.

# 9
Material: AcV2Ru
Method: DFT, PBE
State: optimized geometry

It has space group Fm-3m (No. 225), with a = 6.552 Å, b = 6.552 Å, c = 6.552 Å, α = 90.00°, β = 90.00° and γ = 90.00°. The asymmetric unit holds Ac at (0.000, 0.000, 0.000), V at (0.250, 0.250, 0.250) and Ru at (0.000, 0.000, 0.500).

The value obtained for the calculated formation energy is 0.573 eV per atom. As for the crystal system: cubic. The uncorrected energy comes out at -117.32 eV/cell.

# 10
Material: FePOs
Method: DFT, PBE
State: optimized geometry

It has space group F-43m (No. 216), with a = 5.434 Å, b = 5.434 Å, c = 5.434 Å, α = 90.00°, β = 90.00° and γ = 90.00°. The asymmetric unit holds Fe at (0.000, 0.000, 0.000), P at (0.250, 0.250, 0.750) and Os at (0.000, 0.000, 0.500).

The value obtained for the calculated formation energy is -0.113 eV per atom. As for the crystal system: cubic. The uncorrected energy comes out at -101.77 eV/cell.

# 11
Material: Pm2Dy9Tl
Method: DFT, PBE
State: optimized geometry

It has space group P4/mmm (No. 123), with a = 4.957 Å, b = 4.957 Å, c = 15.164 Å, α = 90.00°, β = 90.00° and γ = 90.00°. The asymmetric unit holds Pm at (0.000, 0.000, 0.167), Dy at (0.000, 0.500, 0.000), Dy at (0.000, 0.500, 0.339), Dy at (0.500, 0.500, 0.173), Dy at (0.500, 0.500, 0.500) and Tl at (0.000, 0.000, 0.500).

The value obtained for the calculated formation energy is -0.036 eV per atom. As for the crystal system: tetragonal. The uncorrected energy comes out at -53.72 eV/cell.

# 12
Material: TiNbIr2
Method: DFT, PBE
State: optimized geometry

It has space group P4/mmm (No. 123), with a = 2.939 Å, b = 2.939 Å, c = 7.240 Å, α = 90.00°, β = 90.00° and γ = 90.00°. The asymmetric unit holds Ti at (0.000, 0.000, 0.000), Nb at (0.000, 0.000, 0.500) and Ir at (0.500, 0.500, 0.225).

The value obtained for the calculated formation energy is -0.713 eV per atom. As for the crystal system: tetragonal. The uncorrected energy comes out at -38.54 eV/cell.

no.,ρ (Mg/m³)
1,6.70
2,4.95
3,6.26
4,3.03
5,13.25
6,5.36
7,3.41
8,7.96
9,10.16
10,11.47
11,8.72
12,13.95